GdTeAs PBE relaxed; calculated volume = 26.0 Å³ per atom; VASP energy = -4.654 eV per atom
1.0
-2.513 -1.835 -3.837
3.563 -2.679 2.128
-4.952 -2.907 4.633
As Gd Te
2 2 2
Direct
0.667 0.333 0.500
0.333 0.667 0.000
0.000 0.000 0.750
0.000 0.000 0.250
0.333 0.667 0.501
0.667 0.333 0.001

LaErSi4Os2 PBE relaxed; calculated volume = 18.5 Å³ per atom; VASP energy = -7.431 eV per atom
1.0
4.472 0.000 0.000
0.000 4.133 0.000
-1.744 0.000 8.024
Si Os Er La
4 2 1 1
Direct
0.038 0.000 0.589
0.667 0.000 0.999
0.962 0.500 0.408
0.336 0.500 0.009
0.885 0.500 0.117
0.118 0.000 0.888
0.405 0.000 0.293
0.587 0.500 0.698

LiPrSeO PBE relaxed; distance to the lowest polymorph of the same formula = 0 meV per atom; calculated volume = 18.5 Å³ per atom
1.0
0.791 -5.635 -0.610
3.848 0.081 4.240
-7.353 4.033 6.596
Pr O Se Li
4 4 4 4
Direct
0.633 0.237 0.134
0.133 0.736 0.134
0.867 0.236 0.866
0.367 0.737 0.866
0.750 0.487 0.000
0.250 0.987 0.000
0.750 0.987 0.000
0.250 0.487 0.000
0.829 0.738 0.329
0.329 0.239 0.329
0.671 0.739 0.671
0.171 0.238 0.671
0.249 0.988 0.499
0.750 0.989 0.500
0.751 0.488 0.501
0.250 0.489 0.500

W2N3 PBE relaxed; calculated volume = 11.5 Å³ per atom; VASP energy = -10.270 eV per atom
1.0
-2.268 1.690 0.677
0.840 -2.105 1.822
9.649 10.071 7.185
N W
6 4
Direct
0.667 0.333 0.750
0.333 0.667 0.085
0.333 0.667 0.250
0.667 0.333 0.915
0.333 0.667 0.415
0.667 0.333 0.585
0.667 0.333 0.157
0.667 0.333 0.343
0.333 0.667 0.843
0.333 0.667 0.657

> Among the records above, which one has the lowest calculated volume?

W2N3

> Which of these has the lowest calculated volume?

W2N3

> What is the calculated volume in the second record?

18.5 Å³ per atom

> calculated volume of number 4 (W2N3)?

11.5 Å³ per atom